GGA-PBE CaTeC, relaxed; energy above the most stable polymorph in this dataset = 19 meV/atom; energy relative to the elements, uncorrected = -436 meV per atom
1.0
4.417 0.000 0.000
2.095 3.892 0.000
1.304 0.692 9.489
Ca C Te
2 2 2
Direct
0.458 0.795 0.847
0.047 0.398 0.245
0.220 0.564 0.637
0.134 0.464 0.757
0.357 0.714 0.439
0.741 0.085 0.063